Compound: SrLiPd3
Source: Alexandria
Functional: PBE-GGA
Structure: optimized geometry

Cell: 5.2785 5.2785 5.2785 Å, 90.00 90.00 90.00°
Closest atoms and distances in Å follow each position.
Fractional coordinates of all 5 atoms:
Sr 0.0000 0.0000 0.0000  6 Pd 2.64
Li 0.5000 0.5000 0.5000  12 Pd 3.73
Pd 0.0000 0.0000 0.5000  2 Sr 2.64
Pd 0.0000 0.5000 0.0000  2 Sr 2.64
Pd 0.5000 0.0000 0.0000  2 Sr 2.64

Values from the calculation:
Calculated formation energy (meV per atom): 699
M_tot (μB/f.u.): 0.0
Symmetry: Pm-3m (221)
Distance to the lowest polymorph of the same formula (meV per atom): 1046
Electronic total energy (eV per atom): -3.136